(1)
ZnTcOs | GGA-PBE | optimized geometry

a = 2.790 Å, b = 2.790 Å, c = 11.112 Å
α = 90.00°, β = 90.00°, γ = 90.00°
Space group P4/nmm (No. 129, origin choice 2)
Inequivalent atoms, fractional coordinates:
Zn  0.250  0.250  0.083 [2 per cell]
Tc  0.250  0.250  0.748 [2 per cell]
Os  0.250  0.250  0.408 [2 per cell]

The formation energy is 31.0 meV/atom. The value obtained for the volume is 14.42 A^3/atom.

(2)
AcBS2O8 | GGA-PBE | optimized geometry

a = 9.838 Å, b = 5.352 Å, c = 6.293 Å
α = 90.00°, β = 112.73°, γ = 90.00°
Space group C2/m (No. 12)
Inequivalent atoms, fractional coordinates:
Ac  0.000  0.000  0.000 [2 per cell]
B  0.000  0.500  0.500 [2 per cell]
S  0.208  0.000  0.689 [4 per cell]
O  0.127  0.500  0.197 [4 per cell]
O  0.148  0.224  0.770 [8 per cell]
O  0.160  0.000  0.437 [4 per cell]

The value obtained for the volume is 12.74 A^3/atom. Its uncorrected formation energy is -1.426 eV/atom.

(3)
Sb2PSeI | GGA-PBE | optimized geometry

a = 5.586 Å, b = 5.586 Å, c = 5.268 Å
α = 90.00°, β = 90.00°, γ = 90.00°
Space group P4/mmm (No. 123)
Inequivalent atoms, fractional coordinates:
Sb  0.000  0.500  0.000 [2 per cell]
P  0.000  0.000  0.500 [1 per cell]
Se  0.500  0.500  0.000 [1 per cell]
I  0.500  0.500  0.500 [1 per cell]

The value obtained for the volume is 32.87 A^3/atom. Its uncorrected formation energy is 1.075 eV/atom.

(4)
CaFe2Ni | GGA-PBE | optimized geometry

a = 2.811 Å, b = 4.543 Å, c = 9.641 Å
α = 90.00°, β = 90.00°, γ = 90.00°
Space group Immm (No. 71)
Inequivalent atoms, fractional coordinates:
Ca  0.000  0.000  0.000 [2 per cell]
Fe  0.000  0.500  0.217 [4 per cell]
Ni  0.000  0.000  0.500 [2 per cell]

The formation energy is 363.4 meV/atom. The value obtained for the volume is 15.39 A^3/atom.

(5)
PuNCl3 | GGA-PBE | optimized geometry

a = 7.250 Å, b = 7.269 Å, c = 8.560 Å
α = 96.60°, β = 97.15°, γ = 119.78°
Space group P1 (No. 1)
Inequivalent atoms, fractional coordinates:
Pu  0.000  0.000  0.000 [1 per cell]
Pu  0.333  0.665  0.000 [1 per cell]
N  0.512  0.496  0.500 [1 per cell]
N  0.814  0.185  0.500 [1 per cell]
Cl  0.081  0.381  0.174 [1 per cell]
Cl  0.252  0.284  0.826 [1 per cell]
Cl  0.345  0.009  0.179 [1 per cell]
Cl  0.615  0.917  0.825 [1 per cell]
Cl  0.718  0.749  0.176 [1 per cell]
Cl  0.988  0.656  0.822 [1 per cell]

The value obtained for the volume is 38.03 A^3/atom. Its uncorrected formation energy is -0.473 eV/atom.

(6)
TbDy5Ho2In | GGA-PBE | optimized geometry

a = 5.348 Å, b = 20.037 Å, c = 10.488 Å
α = 90.00°, β = 90.00°, γ = 90.00°
Space group Cmcm (No. 63)
Inequivalent atoms, fractional coordinates:
Tb  0.000  0.207  0.250 [4 per cell]
Dy  0.000  0.012  0.250 [4 per cell]
Dy  0.000  0.289  0.550 [8 per cell]
Dy  0.000  0.383  0.250 [4 per cell]
Dy  0.000  0.500  0.000 [4 per cell]
Ho  0.000  0.116  0.541 [8 per cell]
In  0.000  0.405  0.750 [4 per cell]

The formation energy is -3.4 meV/atom. The value obtained for the volume is 31.22 A^3/atom.

no.,total energy (eV per atom),M_tot (μB/cell)
1,-7.59,0.0
2,-6.32,0.0
3,-2.66,0.0
4,-5.81,11.4
5,-6.11,6.0
6,-4.40,0.0